Entry from Alexandria: Ba2NbSn after structural relaxation (PBE-GGA).

Geometry as extended XYZ:
```
8
Lattice="9.406 0.000 0.000 0.000 9.406 0.000 4.703 4.703 3.176" Properties=species:S:1:pos:R:3 pbc="T T T"
Ba 7.055 7.304 2.382
Ba 2.601 7.055 0.794
Ba 6.805 2.352 0.794
Ba 11.758 11.508 2.382
Sn 0.000 0.000 0.000
Sn 9.406 4.703 1.588
Nb 4.703 4.703 0.000
Nb 4.703 9.406 1.588
```

Computed properties:
**ΔE_f**: 0.661 eV per atom